Entry a
Entry from the Open Quantum Materials Database: a relaxed structure of Nd3Er3CoTe2 (PBE).

a b c (Å): 8.550 8.550 3.864
angles (deg): 90.00 90.00 120.00
Sites, in units of the cell vectors:
Nd1 0.000 0.241 0.000
Nd2 0.241 0.000 0.000
Nd3 0.759 0.759 0.000
Er1 0.000 0.594 0.500
Er2 0.406 0.406 0.500
Er3 0.594 0.000 0.500
Co1 0.000 0.000 0.500
Te1 0.333 0.667 0.000
Te2 0.667 0.333 0.000

***

Entry b
Entry from the Open Quantum Materials Database: a relaxed structure of Nd3Er3CoTe2 (PBE).

a b c (Å): 8.471 8.471 4.021
angles (deg): 90.00 90.00 120.00
Sites, in units of the cell vectors:
Nd1 0.000 0.597 0.000
Nd2 0.403 0.403 0.000
Nd3 0.597 0.000 0.000
Er1 0.000 0.230 0.500
Er2 0.230 0.000 0.500
Er3 0.770 0.770 0.500
Co1 0.000 0.000 0.000
Te1 0.333 0.667 0.500
Te2 0.667 0.333 0.500

***

It is entry a that is the least stable of them.

***

Entry a
Entry from the Open Quantum Materials Database: a relaxed structure of Pr3Er3CoTe2 (PBE).

a b c (Å): 8.600 8.600 3.852
angles (deg): 90.00 90.00 120.00
Sites, in units of the cell vectors:
Pr1 0.000 0.758 0.000
Pr2 0.242 0.242 0.000
Pr3 0.758 0.000 0.000
Er1 0.000 0.410 0.500
Er2 0.410 0.000 0.500
Er3 0.590 0.590 0.500
Co1 0.000 0.000 0.500
Te1 0.333 0.667 0.000
Te2 0.667 0.333 0.000

***

Entry b
Entry from the Open Quantum Materials Database: a relaxed structure of Pr3Er3CoTe2 (PBE).

a b c (Å): 8.475 8.475 4.033
angles (deg): 90.00 90.00 120.00
Sites, in units of the cell vectors:
Pr1 0.000 0.403 0.000
Pr2 0.403 0.000 0.000
Pr3 0.597 0.597 0.000
Er1 0.000 0.771 0.500
Er2 0.229 0.229 0.500
Er3 0.771 0.000 0.500
Co1 0.000 0.000 0.000
Te1 0.333 0.667 0.500
Te2 0.667 0.333 0.500

***

It is entry a that is the least stable of them.

***

Entry a
Entry from the Open Quantum Materials Database: a relaxed structure of Er3CoTe5 (PBE).

a b c (Å): 8.416 8.416 4.215
angles (deg): 90.00 90.00 120.00
Sites, in units of the cell vectors:
Er1 0.000 0.264 0.000
Er2 0.264 0.000 0.000
Er3 0.736 0.736 0.000
Co1 0.000 0.000 0.500
Te1 0.000 0.706 0.500
Te2 0.294 0.294 0.500
Te3 0.333 0.667 0.000
Te4 0.667 0.333 0.000
Te5 0.706 0.000 0.500

***

Entry b
Entry from the Open Quantum Materials Database: a relaxed structure of Er3CoTe5 (PBE).

a b c (Å): 8.529 8.529 3.696
angles (deg): 90.00 90.00 120.00
Sites, in units of the cell vectors:
Er1 0.000 0.647 0.000
Er2 0.353 0.353 0.000
Er3 0.647 0.000 0.000
Co1 0.000 0.000 0.000
Te1 0.000 0.225 0.500
Te2 0.225 0.000 0.500
Te3 0.333 0.667 0.500
Te4 0.667 0.333 0.500
Te5 0.775 0.775 0.500

***

It is entry b that is the least stable of them.

***

Entry a
Entry from the Open Quantum Materials Database: a relaxed structure of YErCo4 (PBE).

a b c (Å): 5.034 5.034 5.034
angles (deg): 60.00 60.00 60.00
Sites, in units of the cell vectors:
Y1 0.000 0.000 0.000
Er1 0.750 0.750 0.750
Co1 0.375 0.375 0.375
Co2 0.375 0.375 0.874
Co3 0.375 0.874 0.375
Co4 0.874 0.375 0.375

***

Entry b
Entry from the Open Quantum Materials Database: a relaxed structure of YErCo4 (PBE).

a b c (Å): 6.942 7.006 5.164
angles (deg): 90.00 90.00 90.00
Sites, in units of the cell vectors:
Y1 0.000 0.000 0.000
Y2 0.500 0.500 0.000
Er1 0.000 0.500 0.500
Er2 0.500 0.000 0.500
Co1 0.000 0.351 0.000
Co2 0.000 0.649 0.000
Co3 0.151 0.000 0.500
Co4 0.349 0.500 0.500
Co5 0.500 0.149 0.000
Co6 0.500 0.851 0.000
Co7 0.651 0.500 0.500
Co8 0.849 0.000 0.500

***

It is entry b that is the least stable of them.

***

Entry a
Entry from the Open Quantum Materials Database: a relaxed structure of GaFeCoMo (PBE).

a b c (Å): 5.876 5.876 5.876
angles (deg): 90.00 90.00 90.00
Sites, in units of the cell vectors:
Ga1 0.000 0.000 0.000
Ga2 0.000 0.500 0.500
Ga3 0.500 0.000 0.500
Ga4 0.500 0.500 0.000
Fe1 0.250 0.250 0.750
Fe2 0.250 0.750 0.250
Fe3 0.750 0.250 0.250
Fe4 0.750 0.750 0.750
Co1 0.250 0.250 0.250
Co2 0.250 0.750 0.750
Co3 0.750 0.250 0.750
Co4 0.750 0.750 0.250
Mo1 0.000 0.000 0.500
Mo2 0.000 0.500 0.000
Mo3 0.500 0.000 0.000
Mo4 0.500 0.500 0.500

***

Entry b
Entry from the Open Quantum Materials Database: a relaxed structure of GaFeCoMo (PBE).

a b c (Å): 5.928 5.928 5.928
angles (deg): 90.00 90.00 90.00
Sites, in units of the cell vectors:
Ga1 0.000 0.000 0.000
Ga2 0.000 0.500 0.500
Ga3 0.500 0.000 0.500
Ga4 0.500 0.500 0.000
Fe1 0.250 0.250 0.250
Fe2 0.250 0.750 0.750
Fe3 0.750 0.250 0.750
Fe4 0.750 0.750 0.250
Co1 0.000 0.000 0.500
Co2 0.000 0.500 0.000
Co3 0.500 0.000 0.000
Co4 0.500 0.500 0.500
Mo1 0.250 0.250 0.750
Mo2 0.250 0.750 0.250
Mo3 0.750 0.250 0.250
Mo4 0.750 0.750 0.750

***

It is entry b that is the least stable of them.

***

Entry a
Entry from the Open Quantum Materials Database: a relaxed structure of FeCoGeMo (PBE).

a b c (Å): 5.937 5.937 5.937
angles (deg): 90.00 90.00 90.00
Sites, in units of the cell vectors:
Fe1 0.000 0.000 0.000
Fe2 0.000 0.500 0.500
Fe3 0.500 0.000 0.500
Fe4 0.500 0.500 0.000
Co1 0.250 0.250 0.750
Co2 0.250 0.750 0.250
Co3 0.750 0.250 0.250
Co4 0.750 0.750 0.750
Ge1 0.000 0.000 0.500
Ge2 0.000 0.500 0.000
Ge3 0.500 0.000 0.000
Ge4 0.500 0.500 0.500
Mo1 0.250 0.250 0.250
Mo2 0.250 0.750 0.750
Mo3 0.750 0.250 0.750
Mo4 0.750 0.750 0.250

***

Entry b
Entry from the Open Quantum Materials Database: a relaxed structure of FeCoGeMo (PBE).

a b c (Å): 5.915 5.915 5.915
angles (deg): 90.00 90.00 90.00
Sites, in units of the cell vectors:
Fe1 0.000 0.000 0.000
Fe2 0.000 0.500 0.500
Fe3 0.500 0.000 0.500
Fe4 0.500 0.500 0.000
Co1 0.250 0.250 0.250
Co2 0.250 0.750 0.750
Co3 0.750 0.250 0.750
Co4 0.750 0.750 0.250
Ge1 0.250 0.250 0.750
Ge2 0.250 0.750 0.250
Ge3 0.750 0.250 0.250
Ge4 0.750 0.750 0.750
Mo1 0.000 0.000 0.500
Mo2 0.000 0.500 0.000
Mo3 0.500 0.000 0.000
Mo4 0.500 0.500 0.500

***

It is entry b that is the least stable of them.

***

Entry a
Entry from the Open Quantum Materials Database: a relaxed structure of FeCoNiGe (PBE).

a b c (Å): 5.730 5.730 5.730
angles (deg): 90.00 90.00 90.00
Sites, in units of the cell vectors:
Fe1 0.000 0.000 0.000
Fe2 0.000 0.500 0.500
Fe3 0.500 0.000 0.500
Fe4 0.500 0.500 0.000
Co1 0.250 0.250 0.750
Co2 0.250 0.750 0.250
Co3 0.750 0.250 0.250
Co4 0.750 0.750 0.750
Ni1 0.250 0.250 0.250
Ni2 0.250 0.750 0.750
Ni3 0.750 0.250 0.750
Ni4 0.750 0.750 0.250
Ge1 0.000 0.000 0.500
Ge2 0.000 0.500 0.000
Ge3 0.500 0.000 0.000
Ge4 0.500 0.500 0.500

***

Entry b
Entry from the Open Quantum Materials Database: a relaxed structure of FeCoNiGe (PBE).

a b c (Å): 5.688 5.688 5.688
angles (deg): 90.00 90.00 90.00
Sites, in units of the cell vectors:
Fe1 0.000 0.000 0.000
Fe2 0.000 0.500 0.500
Fe3 0.500 0.000 0.500
Fe4 0.500 0.500 0.000
Co1 0.000 0.000 0.500
Co2 0.000 0.500 0.000
Co3 0.500 0.000 0.000
Co4 0.500 0.500 0.500
Ni1 0.250 0.250 0.250
Ni2 0.250 0.750 0.750
Ni3 0.750 0.250 0.750
Ni4 0.750 0.750 0.250
Ge1 0.250 0.250 0.750
Ge2 0.250 0.750 0.250
Ge3 0.750 0.250 0.250
Ge4 0.750 0.750 0.750

***

It is entry b that is the least stable of them.

***

Entry a
Entry from the Open Quantum Materials Database: a relaxed structure of FeCoGeS3 (PBE).

a b c (Å): 6.402 6.402 8.848
angles (deg): 90.00 90.00 149.04
Sites, in units of the cell vectors:
Fe1 0.029 0.971 0.750
Fe2 0.971 0.029 0.250
Co1 0.500 0.500 0.000
Co2 0.500 0.500 0.500
Ge1 0.287 0.713 0.250
Ge2 0.713 0.287 0.750
S1 0.128 0.872 0.546
S2 0.128 0.872 0.954
S3 0.420 0.580 0.750
S4 0.580 0.420 0.250
S5 0.872 0.128 0.046
S6 0.872 0.128 0.454

***

Entry b
Entry from the Open Quantum Materials Database: a relaxed structure of FeCoGeS3 (PBE).

a b c (Å): 6.439 6.439 8.920
angles (deg): 90.00 90.00 149.56
Sites, in units of the cell vectors:
Fe1 0.000 0.000 0.000
Fe2 0.000 0.000 0.500
Co1 0.468 0.532 0.750
Co2 0.532 0.468 0.250
Ge1 0.215 0.785 0.250
Ge2 0.785 0.215 0.750
S1 0.075 0.925 0.750
S2 0.366 0.634 0.551
S3 0.366 0.634 0.949
S4 0.634 0.366 0.051
S5 0.634 0.366 0.449
S6 0.925 0.075 0.250

***

It is entry a that is the least stable of them.

***

Entry a
Entry from the Open Quantum Materials Database: a relaxed structure of FeCoGeSe3 (PBE).

a b c (Å): 6.985 6.985 9.576
angles (deg): 90.00 90.00 151.24
Sites, in units of the cell vectors:
Fe1 0.043 0.957 0.750
Fe2 0.957 0.043 0.250
Co1 0.500 0.500 0.000
Co2 0.500 0.500 0.500
Ge1 0.305 0.695 0.250
Ge2 0.695 0.305 0.750
Se1 0.126 0.874 0.533
Se2 0.126 0.874 0.967
Se3 0.423 0.577 0.750
Se4 0.577 0.423 0.250
Se5 0.874 0.126 0.033
Se6 0.874 0.126 0.467

***

Entry b
Entry from the Open Quantum Materials Database: a relaxed structure of FeCoGeSe3 (PBE).

a b c (Å): 6.796 6.796 9.602
angles (deg): 90.00 90.00 150.14
Sites, in units of the cell vectors:
Fe1 0.000 0.000 0.000
Fe2 0.000 0.000 0.500
Co1 0.454 0.546 0.750
Co2 0.546 0.454 0.250
Ge1 0.198 0.802 0.250
Ge2 0.802 0.198 0.750
Se1 0.071 0.929 0.750
Se2 0.366 0.634 0.538
Se3 0.366 0.634 0.962
Se4 0.634 0.366 0.038
Se5 0.634 0.366 0.462
Se6 0.929 0.071 0.250

***

It is entry a that is the least stable of them.

***

Entry a
Entry from the Open Quantum Materials Database: a relaxed structure of FeCoGeTe3 (PBE).

a b c (Å): 7.252 7.252 10.344
angles (deg): 90.00 90.00 150.19
Sites, in units of the cell vectors:
Fe1 0.048 0.952 0.750
Fe2 0.952 0.048 0.250
Co1 0.500 0.500 0.000
Co2 0.500 0.500 0.500
Ge1 0.321 0.679 0.250
Ge2 0.679 0.321 0.750
Te1 0.128 0.872 0.529
Te2 0.128 0.872 0.971
Te3 0.420 0.580 0.750
Te4 0.580 0.420 0.250
Te5 0.872 0.128 0.029
Te6 0.872 0.128 0.471

***

Entry b
Entry from the Open Quantum Materials Database: a relaxed structure of FeCoGeTe3 (PBE).

a b c (Å): 7.057 7.057 10.458
angles (deg): 90.00 90.00 149.11
Sites, in units of the cell vectors:
Fe1 0.000 0.000 0.000
Fe2 0.000 0.000 0.500
Co1 0.447 0.553 0.750
Co2 0.553 0.447 0.250
Ge1 0.182 0.818 0.250
Ge2 0.818 0.182 0.750
Te1 0.071 0.929 0.750
Te2 0.366 0.634 0.534
Te3 0.366 0.634 0.966
Te4 0.634 0.366 0.034
Te5 0.634 0.366 0.466
Te6 0.929 0.071 0.250

***

It is entry a that is the least stable of them.

***

Entry a
Entry from the Open Quantum Materials Database: a relaxed structure of HfFeCoSi (PBE).

a b c (Å): 5.909 5.909 5.909
angles (deg): 90.00 90.00 90.00
Sites, in units of the cell vectors:
Hf1 0.000 0.000 0.000
Hf2 0.000 0.500 0.500
Hf3 0.500 0.000 0.500
Hf4 0.500 0.500 0.000
Fe1 0.250 0.250 0.250
Fe2 0.250 0.750 0.750
Fe3 0.750 0.250 0.750
Fe4 0.750 0.750 0.250
Co1 0.250 0.250 0.750
Co2 0.250 0.750 0.250
Co3 0.750 0.250 0.250
Co4 0.750 0.750 0.750
Si1 0.000 0.000 0.500
Si2 0.000 0.500 0.000
Si3 0.500 0.000 0.000
Si4 0.500 0.500 0.500

***

Entry b
Entry from the Open Quantum Materials Database: a relaxed structure of HfFeCoSi (PBE).

a b c (Å): 6.051 6.051 6.051
angles (deg): 90.00 90.00 90.00
Sites, in units of the cell vectors:
Hf1 0.000 0.000 0.000
Hf2 0.000 0.500 0.500
Hf3 0.500 0.000 0.500
Hf4 0.500 0.500 0.000
Fe1 0.000 0.000 0.500
Fe2 0.000 0.500 0.000
Fe3 0.500 0.000 0.000
Fe4 0.500 0.500 0.500
Co1 0.250 0.250 0.750
Co2 0.250 0.750 0.250
Co3 0.750 0.250 0.250
Co4 0.750 0.750 0.750
Si1 0.250 0.250 0.250
Si2 0.250 0.750 0.750
Si3 0.750 0.250 0.750
Si4 0.750 0.750 0.250

***

It is entry b that is the least stable of them.

***

Entry a
Entry from the Open Quantum Materials Database: a relaxed structure of HfZnFeCo (PBE).

a b c (Å): 6.113 6.113 6.113
angles (deg): 90.00 90.00 90.00
Sites, in units of the cell vectors:
Hf1 0.000 0.000 0.000
Hf2 0.000 0.500 0.500
Hf3 0.500 0.000 0.500
Hf4 0.500 0.500 0.000
Zn1 0.250 0.250 0.250
Zn2 0.250 0.750 0.750
Zn3 0.750 0.250 0.750
Zn4 0.750 0.750 0.250
Fe1 0.250 0.250 0.750
Fe2 0.250 0.750 0.250
Fe3 0.750 0.250 0.250
Fe4 0.750 0.750 0.750
Co1 0.000 0.000 0.500
Co2 0.000 0.500 0.000
Co3 0.500 0.000 0.000
Co4 0.500 0.500 0.500

***

Entry b
Entry from the Open Quantum Materials Database: a relaxed structure of HfZnFeCo (PBE).

a b c (Å): 6.124 6.124 6.124
angles (deg): 90.00 90.00 90.00
Sites, in units of the cell vectors:
Hf1 0.000 0.000 0.000
Hf2 0.000 0.500 0.500
Hf3 0.500 0.000 0.500
Hf4 0.500 0.500 0.000
Zn1 0.250 0.250 0.250
Zn2 0.250 0.750 0.750
Zn3 0.750 0.250 0.750
Zn4 0.750 0.750 0.250
Fe1 0.000 0.000 0.500
Fe2 0.000 0.500 0.000
Fe3 0.500 0.000 0.000
Fe4 0.500 0.500 0.500
Co1 0.250 0.250 0.750
Co2 0.250 0.750 0.250
Co3 0.750 0.250 0.250
Co4 0.750 0.750 0.750

***

Entry c
Entry from the Open Quantum Materials Database: a relaxed structure of HfZnFeCo (PBE).

a b c (Å): 6.002 6.002 6.002
angles (deg): 90.00 90.00 90.00
Sites, in units of the cell vectors:
Hf1 0.000 0.000 0.000
Hf2 0.000 0.500 0.500
Hf3 0.500 0.000 0.500
Hf4 0.500 0.500 0.000
Zn1 0.000 0.000 0.500
Zn2 0.000 0.500 0.000
Zn3 0.500 0.000 0.000
Zn4 0.500 0.500 0.500
Fe1 0.250 0.250 0.250
Fe2 0.250 0.750 0.750
Fe3 0.750 0.250 0.750
Fe4 0.750 0.750 0.250
Co1 0.250 0.250 0.750
Co2 0.250 0.750 0.250
Co3 0.750 0.250 0.250
Co4 0.750 0.750 0.750

***

It is entry a that is the least stable of them.